(1)
Density functional theory data (PBE-GGA) for crystalline BaTcMo2 at its relaxed geometry.

Total moment: 0.00 μB/cell
Distance to the lowest polymorph of the same formula: 475 meV/atom
Formation enthalpy at 0 K: 4.7 eV per formula unit
Calculated volume: 20.69 Å³ per atom

CIF file:
```
data_BaTcMo2
_space_group_name_H-M_alt 'I m m 2'
_space_group_IT_number 44
_cell_length_a 3.078
_cell_length_b 5.468
_cell_length_c 9.833
_cell_angle_alpha 90.00
_cell_angle_beta 90.00
_cell_angle_gamma 90.00
loop_
_space_group_symop_operation_xyz
'x,y,z'
'-x,-y,z'
'-x,y,z'
'x,-y,z'
'x+1/2,y+1/2,z+1/2'
'-x+1/2,-y+1/2,z+1/2'
'-x+1/2,y+1/2,z+1/2'
'x+1/2,-y+1/2,z+1/2'
loop_
_atom_site_label
_atom_site_fract_x
_atom_site_fract_y
_atom_site_fract_z
Ba1 0.000 0.000 0.000
Tc1 0.000 0.500 0.215
Mo1 0.000 0.000 0.512
Mo2 0.000 0.500 0.790
```



(2)
Density functional theory data (PBE-GGA) for crystalline HfZrAu2 at its relaxed geometry.

Total moment: 0.00 μB/cell
Distance to the lowest polymorph of the same formula: 390 meV/atom
Formation enthalpy at 0 K: -0.3 eV per formula unit
Calculated volume: 22.28 Å³ per atom

CIF file:
```
data_HfZrAu2
_space_group_name_H-M_alt 'I -4 2 d'
_space_group_IT_number 122
_space_group_name_Hall 'I -4 2bw'
_cell_length_a 7.378
_cell_length_b 7.378
_cell_length_c 6.548
_cell_angle_alpha 90.00
_cell_angle_beta 90.00
_cell_angle_gamma 90.00
loop_
_atom_site_label
_atom_site_fract_x
_atom_site_fract_y
_atom_site_fract_z
Hf1 0.000 0.000 0.000
Zr1 0.000 0.000 0.500
Au1 0.243 0.750 0.125
```



(3)
Density functional theory data (PBE-GGA) for crystalline PmIrRuPb at its relaxed geometry.

Total moment: 0.00 μB/cell
Formation enthalpy at 0 K: -0.4 eV per formula unit
Calculated volume: 19.76 Å³ per atom

CIF file:
```
data_PmIrRuPb
_space_group_name_H-M_alt 'F -4 3 m'
_space_group_IT_number 216
_space_group_name_Hall 'F -4 2 3'
_cell_length_a 6.813
_cell_length_b 6.813
_cell_length_c 6.813
_cell_angle_alpha 90.00
_cell_angle_beta 90.00
_cell_angle_gamma 90.00
loop_
_atom_site_label
_atom_site_fract_x
_atom_site_fract_y
_atom_site_fract_z
Pm1 0.000 0.000 0.000
Ir1 0.250 0.250 0.750
Ru1 0.250 0.250 0.250
Pb1 0.000 0.000 0.500
```



(4)
Density functional theory data (PBE-GGA) for crystalline Mg4In3Pd2 at its relaxed geometry.

Total moment: 0.00 μB/cell
Formation enthalpy at 0 K: -3.4 eV per formula unit
Calculated volume: 20.58 Å³ per atom

CIF file:
```
data_Mg4In3Pd2
_space_group_name_H-M_alt 'C 1 2/m 1'
_space_group_IT_number 12
_cell_length_a 14.073
_cell_length_b 4.607
_cell_length_c 5.800
_cell_angle_alpha 90.00
_cell_angle_beta 99.84
_cell_angle_gamma 90.00
loop_
_space_group_symop_operation_xyz
'x,y,z'
'-x,-y,-z'
'-x,y,-z'
'x,-y,z'
'x+1/2,y+1/2,z'
'-x+1/2,-y+1/2,-z'
'-x+1/2,y+1/2,-z'
'x+1/2,-y+1/2,z'
loop_
_atom_site_label
_atom_site_fract_x
_atom_site_fract_y
_atom_site_fract_z
Mg1 0.085 0.000 0.360
Mg2 0.214 0.500 0.172
In1 0.000 0.500 0.000
In2 0.152 0.500 0.652
Pd1 0.101 0.000 0.895
```



(5)
Density functional theory data (PBE-GGA) for crystalline Ac2AgTe at its relaxed geometry.

Total moment: 0.00 μB/cell
Raw formation energy: -0.8421 eV per atom
Distance to the lowest polymorph of the same formula: 0 meV/atom
Calculated volume: 35.33 Å³ per atom

CIF file:
```
data_Ac2AgTe
_space_group_name_H-M_alt 'C m c m'
_space_group_IT_number 63
_space_group_name_Hall '-C 2c 2'
_cell_length_a 4.477
_cell_length_b 25.755
_cell_length_c 4.903
_cell_angle_alpha 90.00
_cell_angle_beta 90.00
_cell_angle_gamma 90.00
loop_
_atom_site_label
_atom_site_fract_x
_atom_site_fract_y
_atom_site_fract_z
Ac1 0.000 0.063 0.250
Ac2 0.000 0.324 0.250
Ag1 0.000 0.462 0.250
Te1 0.000 0.194 0.250
```



(6)
Density functional theory data (PBE-GGA) for crystalline UBi2O6 at its relaxed geometry.

Total moment: 0.00 μB/cell
Raw formation energy: -2.0483 eV per atom
Calculated volume: 14.22 Å³ per atom

CIF file:
```
data_UBi2O6
_space_group_name_H-M_alt 'P -3 m 1'
_space_group_IT_number 164
_space_group_name_Hall '-P 3 2"'
_cell_length_a 3.8944
_cell_length_b 3.8944
_cell_length_c 9.7438
_cell_angle_alpha 90.00
_cell_angle_beta 90.00
_cell_angle_gamma 120.00
loop_
_atom_site_label
_atom_site_fract_x
_atom_site_fract_y
_atom_site_fract_z
U1 0.0000 0.0000 0.0000
Bi1 0.3333 0.6667 0.6573
O1 0.0000 0.0000 0.2103
O2 0.3333 0.6667 0.0456
O3 0.3333 0.6667 0.4197
```



(7)
Density functional theory data (PBE-GGA) for crystalline CdIBr3 at its relaxed geometry.

Total moment: 2.06 μB/cell
Raw formation energy: -0.1453 eV per atom
Distance to the lowest polymorph of the same formula: 0 meV/atom
Calculated volume: 33.70 Å³ per atom

CIF file:
```
data_CdIBr3
_space_group_name_H-M_alt 'P m -3 m'
_space_group_IT_number 221
_space_group_name_Hall '-P 4 2 3'
_cell_length_a 5.523
_cell_length_b 5.523
_cell_length_c 5.523
_cell_angle_alpha 90.00
_cell_angle_beta 90.00
_cell_angle_gamma 90.00
loop_
_atom_site_label
_atom_site_fract_x
_atom_site_fract_y
_atom_site_fract_z
Cd1 0.000 0.000 0.000
I1 0.500 0.500 0.500
Br1 0.000 0.000 0.500
```



(8)
Density functional theory data (PBE-GGA) for crystalline YTl2Si at its relaxed geometry.

Total moment: 0.00 μB/cell
Raw formation energy: 0.0825 eV per atom
Distance to the lowest polymorph of the same formula: 205 meV/atom
Calculated volume: 25.66 Å³ per atom

CIF file:
```
data_YTl2Si
_space_group_name_H-M_alt 'F -4 3 m'
_space_group_IT_number 216
_space_group_name_Hall 'F -4 2 3'
_cell_length_a 7.432
_cell_length_b 7.432
_cell_length_c 7.432
_cell_angle_alpha 90.00
_cell_angle_beta 90.00
_cell_angle_gamma 90.00
loop_
_atom_site_label
_atom_site_fract_x
_atom_site_fract_y
_atom_site_fract_z
Y1 0.000 0.000 0.000
Tl1 0.000 0.000 0.500
Tl2 0.250 0.250 0.750
Si1 0.250 0.250 0.250
```



(9)
Density functional theory data (PBE-GGA) for crystalline CaMnHPd2 at its relaxed geometry.

Total moment: 3.68 μB/cell
E: -5.19 eV per atom
Calculated volume: 14.77 Å³ per atom

CIF file:
```
data_CaMnHPd2
_space_group_name_H-M_alt 'P 4/m m m'
_space_group_IT_number 123
_space_group_name_Hall '-P 4 2'
_cell_length_a 4.558
_cell_length_b 4.558
_cell_length_c 3.556
_cell_angle_alpha 90.00
_cell_angle_beta 90.00
_cell_angle_gamma 90.00
loop_
_atom_site_label
_atom_site_fract_x
_atom_site_fract_y
_atom_site_fract_z
Ca1 0.000 0.000 0.000
Mn1 0.500 0.500 0.000
H1 0.500 0.500 0.500
Pd1 0.000 0.500 0.500
```



(10)
Density functional theory data (PBE-GGA) for crystalline Li2PaPt4 at its relaxed geometry.

Total moment: 0.00 μB/cell
Distance to the lowest polymorph of the same formula: 732 meV/atom
Formation enthalpy at 0 K: 1.1 eV per formula unit
Calculated volume: 25.20 Å³ per atom

CIF file:
```
data_Li2PaPt4
_space_group_name_H-M_alt 'I 4/m m m'
_space_group_IT_number 139
_space_group_name_Hall '-I 4 2'
_cell_length_a 5.220
_cell_length_b 5.220
_cell_length_c 12.947
_cell_angle_alpha 90.00
_cell_angle_beta 90.00
_cell_angle_gamma 90.00
loop_
_atom_site_label
_atom_site_fract_x
_atom_site_fract_y
_atom_site_fract_z
Li1 0.000 0.000 0.105
Pa1 0.000 0.000 0.500
Pt1 0.000 0.000 0.309
Pt2 0.000 0.500 0.000
```



(11)
Density functional theory data (PBE-GGA) for crystalline BaEu2Pd at its relaxed geometry.

Total moment: 14.59 μB/cell
Distance to the lowest polymorph of the same formula: 0 meV/atom
Formation enthalpy at 0 K: -1.2 eV per formula unit
Calculated volume: 37.03 Å³ per atom

CIF file:
```
data_BaEu2Pd
_space_group_name_H-M_alt 'P 4/m m m'
_space_group_IT_number 123
_space_group_name_Hall '-P 4 2'
_cell_length_a 3.814
_cell_length_b 3.814
_cell_length_c 10.183
_cell_angle_alpha 90.00
_cell_angle_beta 90.00
_cell_angle_gamma 90.00
loop_
_atom_site_label
_atom_site_fract_x
_atom_site_fract_y
_atom_site_fract_z
Ba1 0.000 0.000 0.000
Eu1 0.500 0.500 0.334
Pd1 0.000 0.000 0.500
```



(12)
Density functional theory data (PBE-GGA) for crystalline LiZnAs2O at its relaxed geometry.

Total moment: 0.00 μB/cell
Raw formation energy: 0.7473 eV per atom
Calculated volume: 21.24 Å³ per atom

CIF file:
```
data_LiZnAs2O
_space_group_name_H-M_alt 'P 4/m m m'
_space_group_IT_number 123
_space_group_name_Hall '-P 4 2'
_cell_length_a 4.648
_cell_length_b 4.648
_cell_length_c 4.916
_cell_angle_alpha 90.00
_cell_angle_beta 90.00
_cell_angle_gamma 90.00
loop_
_atom_site_label
_atom_site_fract_x
_atom_site_fract_y
_atom_site_fract_z
Li1 0.000 0.000 0.000
Zn1 0.000 0.000 0.500
As1 0.000 0.500 0.500
O1 0.500 0.500 0.000
```